*w*
PmY6Tm4: relaxed, PBE.

abc: 5.2631 9.0582 9.0582
angles: 120.00 90.00 90.00
Last column: magnetic moment on the atom in μB.
Atoms (fractional coordinates):
Y: 0.5000 0.2054 0.4109  0.04
Y: 0.0000 0.5350 0.4650  0.06
Y: 0.0000 0.9299 0.4650  0.06
Y: 0.0000 0.5350 0.0701  0.06
Y: 0.5000 0.5891 0.7946  0.04
Y: 0.5000 0.2054 0.7946  0.04
Pm: 0.0000 0.0000 0.0000  0.11
Tm: 0.5000 0.4109 0.2055  0.13
Tm: 0.0000 0.3333 0.6667  -0.08
Tm: 0.5000 0.7945 0.2055  0.13
Tm: 0.5000 0.7945 0.5891  0.13

Values from the calculation:
total magnetic moment = 1.20 μB per cell
Fermi-level density of states = 1.639 states/eV/atom

---

*x*
PmY6Tm4: relaxed, PBE.

abc: 5.6434 5.6134 25.7039
angles: 90.00 90.00 120.18
Atoms (fractional coordinates):
Pm: 0.1734 0.3469 0.7500
Pm: 0.8266 0.6531 0.2500
Y: 0.1733 0.3467 0.6011
Y: 0.4929 0.9859 0.2500
Y: 0.5000 0.0000 0.5000
Y: 0.8407 0.6815 0.6803
Y: 0.1733 0.3467 0.8989
Y: 0.5000 0.0000 0.0000
Y: 0.1593 0.3185 0.1803
Y: 0.8267 0.6533 0.1011
Y: 0.5071 0.0141 0.7500
Y: 0.8267 0.6533 0.3989
Y: 0.1593 0.3185 0.3197
Y: 0.8407 0.6815 0.8197
Tm: 0.5082 0.0165 0.8789
Tm: 0.8358 0.6717 0.5417
Tm: 0.4918 0.9835 0.1211
Tm: 0.5082 0.0165 0.6211
Tm: 0.4918 0.9835 0.3789
Tm: 0.1642 0.3283 0.4583
Tm: 0.8358 0.6717 0.9583
Tm: 0.1642 0.3283 0.0417

Values from the calculation:
total magnetic moment = 0.00 μB per cell
Fermi-level density of states = 1.815 states/eV/atom

---

*x* (0.228 eV/atom below the next structure)

---

*w*
PmYTmZn: relaxed, PBE.

abc: 5.3637 5.3637 5.3637
angles: 60.00 60.00 60.00
Atoms (fractional coordinates):
Tm: 0.5000 0.5000 0.5000
Pm: 0.2500 0.2500 0.2500
Zn: 0.0000 0.0000 0.0000
Y: 0.7500 0.7500 0.7500

Values from the calculation:
total magnetic moment = 0.00 μB per cell
Fermi-level density of states = 1.228 states/eV/atom

---

*x*
PmYTmZn: relaxed, PBE.

abc: 3.5646 3.5646 8.7207
angles: 90.00 90.00 90.00
Atoms (fractional coordinates):
Zn: 0.0000 0.0000 0.5654
Pm: 0.0000 0.0000 0.0760
Tm: 0.5000 0.5000 0.3698
Y: 0.5000 0.5000 0.7735

Values from the calculation:
total magnetic moment = 0.00 μB per cell
Fermi-level density of states = 1.123 states/eV/atom

---

*x* (0.194 eV/atom below the next structure)

---

*w*
PmTmZn: relaxed, PBE.

abc: 3.5936 3.5936 6.6319
angles: 105.72 105.72 90.00
Atoms (fractional coordinates):
Pm: 0.0183 0.0183 0.0366
Zn: 0.6750 0.6750 0.3499
Tm: 0.3068 0.3068 0.6135

Values from the calculation:
total magnetic moment = 0.00 μB per cell
Fermi-level density of states = 1.271 states/eV/atom

---

*x*
PmTmZn: relaxed, PBE.

abc: 3.7552 4.9793 4.9793
angles: 120.00 90.00 90.00
Atoms (fractional coordinates):
Pm: 0.6368 0.6667 0.3333
Zn: 0.2545 0.3333 0.6667
Tm: 0.1088 0.0000 0.0000

Values from the calculation:
total magnetic moment = 0.00 μB per cell
Fermi-level density of states = 1.329 states/eV/atom

---

*w* (0.156 eV/atom below the next structure)

---

*w*
Pm3Tm2Zn2: relaxed, PBE.

abc: 3.7252 6.7454 9.0693
angles: 114.40 90.00 106.03
Atoms (fractional coordinates):
Zn: 0.8158 0.6317 0.7794
Zn: 0.1842 0.3683 0.2206
Pm: 0.6073 0.2146 0.4375
Pm: 0.3927 0.7854 0.5625
Pm: 0.5000 0.0000 0.0000
Tm: 0.1509 0.3019 0.8159
Tm: 0.8491 0.6981 0.1841

Values from the calculation:
total magnetic moment = 0.00 μB per cell
Fermi-level density of states = 1.148 states/eV/atom

---

*x*
Pm3Tm2Zn2: relaxed, PBE.

abc: 4.7365 3.4540 11.8713
angles: 90.00 78.49 90.00
Atoms (fractional coordinates):
Pm: 0.0000 0.0000 0.0000
Pm: 0.8624 0.0000 0.2753
Pm: 0.1376 0.0000 0.7247
Tm: 0.7073 0.5000 0.5855
Tm: 0.2927 0.5000 0.4145
Zn: 0.4319 0.5000 0.1362
Zn: 0.5681 0.5000 0.8638

Values from the calculation:
total magnetic moment = 0.00 μB per cell
Fermi-level density of states = 1.179 states/eV/atom

---

*w* (0.164 eV/atom below the next structure)